Record 1
Here is a relaxed structure of CaTlSbTe2 from the Alexandria database. Energies are from PBE.

The structure in POSCAR format:
```
CaTlSbTe2
1.0
-1.998 5.466 -1.006
-2.796 -0.065 5.202
4.718 2.196 2.563
Sb Tl Te Ca
1 1 2 1
Cartesian
2.359 1.098 1.282 Sb
-0.038 3.799 3.380 Tl
-1.398 -0.032 2.601 Te
-0.999 2.733 -0.503 Te
0.000 0.000 0.000 Ca
```

## Properties
uncorrected energy: -14.771 eV per cell
V: 40.5 Å³ per atom
DOS(E_F): 1.0022 states/eV per atom


Record 2
Here is a relaxed structure of CuBr3Cl from the Alexandria database. Energies are from PBE.

The structure in POSCAR format:
```
CuBr3Cl
1.0
-4.344 1.579 3.441
-2.886 -3.758 3.015
7.007 1.254 8.270
Cu Br Cl
2 6 2
Cartesian
0.737 1.281 7.134 Cu
-6.066 -1.686 6.150 Cu
-1.062 1.320 8.653 Br
-4.266 -1.727 4.631 Br
2.419 0.803 8.907 Br
-0.624 0.258 5.317 Br
-0.359 -2.242 4.524 Br
3.606 -1.532 9.203 Br
-0.280 -0.501 1.068 Cl
-0.704 -1.485 8.775 Cl
```

## Properties
uncorrected energy: -22.533 eV per cell
V: 30.1 Å³ per atom
DOS(E_F): 0.2669 states/eV per atom


Record 3
Here is a relaxed structure of KCd2HgIr from the Alexandria database. Energies are from PBE.

The structure in POSCAR format:
```
KCd2HgIr
1.0
5.270 0.000 0.000
0.000 5.270 0.000
0.000 0.000 5.342
K Ir Hg Cd
1 1 1 2
Cartesian
2.635 2.635 2.671 K
0.000 0.000 0.000 Ir
0.000 0.000 2.671 Hg
0.000 2.635 0.000 Cd
2.635 0.000 0.000 Cd
```

## Properties
uncorrected energy: -12.201 eV per cell
V: 29.7 Å³ per atom
ΔH_f (0 K): -0.0220 eV per atom
DOS(E_F): 0.4866 states/eV per atom


Record 4
Here is a relaxed structure of Pu2CuSe4 from the Alexandria database. Energies are from PBE.

The structure in POSCAR format:
```
Pu2CuSe4
1.0
7.028 0.000 0.098
0.000 5.809 0.000
-2.472 0.000 7.860
Pu Cu Se
4 2 8
Cartesian
5.215 4.357 0.554 Pu
-0.660 1.452 7.403 Pu
0.586 1.452 3.445 Pu
3.969 4.357 4.512 Pu
1.233 4.357 1.474 Cu
3.322 1.452 6.483 Cu
3.009 2.844 2.057 Se
-1.662 4.357 7.000 Se
6.217 1.452 0.957 Se
3.009 0.060 2.057 Se
5.032 1.452 4.841 Se
1.547 5.748 5.901 Se
1.547 2.965 5.901 Se
-0.477 4.357 3.116 Se
```

## Properties
uncorrected energy: -108.110 eV per cell
V: 23.0 Å³ per atom
DOS(E_F): 3.2320 states/eV per atom


Record 5
Here is a relaxed structure of LaZrNpO6 from the Alexandria database. Energies are from PBE.

The structure in POSCAR format:
```
LaZrNpO6
1.0
5.695 0.000 0.000
-2.848 4.932 0.000
0.000 0.000 10.073
La Zr Np O
2 2 2 12
Cartesian
0.000 0.000 0.000 La
0.000 0.000 5.036 La
0.000 3.288 2.518 Zr
2.848 1.644 7.555 Zr
2.848 1.644 2.518 Np
0.000 3.288 7.555 Np
1.819 3.169 1.409 O
-1.012 1.772 1.409 O
2.041 0.009 6.446 O
3.860 3.160 8.664 O
1.012 1.772 3.627 O
-1.819 3.169 3.627 O
3.654 0.009 8.664 O
0.807 4.923 3.627 O
4.667 1.763 6.446 O
-0.807 4.923 1.409 O
1.835 3.160 6.446 O
1.029 1.763 8.664 O
```

## Properties
uncorrected energy: -169.993 eV per cell
V: 15.7 Å³ per atom
DOS(E_F): 0.8691 states/eV per atom


Record 6
Here is a relaxed structure of NdReSi from the Alexandria database. Energies are from PBE.

The structure in POSCAR format:
```
NdReSi
1.0
-2.729 -3.152 -0.773
3.529 -3.729 2.745
-1.621 3.168 4.440
Re Si Nd
2 2 2
Cartesian
-0.534 -2.717 1.332 Re
-0.287 -0.997 5.080 Re
0.037 -0.668 2.597 Si
-0.858 -3.045 3.816 Si
-3.018 -1.025 3.204 Nd
2.197 -2.689 3.209 Nd
```

## Properties
uncorrected energy: -46.510 eV per cell
V: 21.4 Å³ per atom
DOS(E_F): 0.8440 states/eV per atom


Record 7
Here is a relaxed structure of Tb6PrAg from the Alexandria database. Energies are from PBE.

The structure in POSCAR format:
```
Tb6PrAg
1.0
-3.916 -8.158 -2.585
-2.902 -5.773 5.490
-5.600 -2.909 0.533
Tb Pr Ag
6 1 1
Cartesian
-5.688 -5.066 2.634 Tb
-9.738 -13.803 3.638 Tb
-3.738 -6.450 -0.106 Tb
-2.680 -3.037 -0.199 Tb
-6.730 -11.773 0.805 Tb
-8.680 -10.389 3.545 Tb
-6.209 -8.420 1.719 Pr
0.000 0.000 0.000 Ag
```

## Properties
uncorrected energy: -35.075 eV per cell
V: 31.2 Å³ per atom
ΔH_f (0 K): 0.0422 eV per atom
DOS(E_F): 1.2260 states/eV per atom


Question: Which value of DOS(E_F) does entry 3 give?
Answer: 0.4866 states/eV per atom